Entry 1:
A geometry-optimized Sm2MnCu structure. Source: Alexandria, functional PBE.

Structure (POSCAR):
```
Sm2MnCu
1.0
3.553 0.000 0.000
0.000 3.553 0.000
0.000 0.000 7.257
Sm Mn Cu
2 1 1
Cartesian
0.000 0.000 1.787 Sm
0.000 0.000 5.470 Sm
1.776 1.776 3.628 Mn
1.776 1.776 0.000 Cu
```

* DFT total energy: -5.64 eV/atom
* theoretical density: 7.60 g/cm³
* size of the total moment: 3.20 μB/cell
* formation energy: 0.04 eV per atom

=====

Entry 2:
A geometry-optimized U2Co5P3 structure. Source: Alexandria, functional PBE.

Structure (POSCAR):
```
U2Co5P3
1.0
1.881 -11.859 0.000
1.881 11.859 0.000
0.000 0.000 6.086
U Co P
4 10 6
Cartesian
1.881 11.555 3.043 U
1.881 4.225 2.908 U
1.881 -4.225 5.951 U
1.881 -11.555 0.000 U
1.881 9.301 0.714 Co
1.881 6.947 3.987 Co
1.881 6.641 1.463 Co
1.881 3.083 6.075 Co
1.881 1.600 2.141 Co
1.881 -1.600 5.184 Co
1.881 -3.083 3.031 Co
1.881 -6.641 4.506 Co
1.881 -6.947 0.944 Co
1.881 -9.301 3.757 Co
1.881 9.190 4.390 P
1.881 5.324 5.741 P
1.881 1.502 4.431 P
1.881 -1.502 1.388 P
1.881 -5.324 2.698 P
1.881 -9.190 1.347 P
```

* DFT total energy: -8.02 eV/atom
* theoretical density: 10.57 g/cm³
* size of the total moment: 2.48 μB/cell
* formation energy: -0.58 eV per atom

=====

Entry 3:
A geometry-optimized PuScTiIn structure. Source: Alexandria, functional PBE.

Structure (POSCAR):
```
PuScTiIn
1.0
0.000 3.533 3.533
3.533 0.000 3.533
3.533 3.533 0.000
Pu Sc Ti In
1 1 1 1
Cartesian
0.000 0.000 0.000 Pu
1.767 1.767 1.767 Sc
5.300 5.300 5.300 Ti
3.533 3.533 3.533 In
```

* DFT total energy: -7.83 eV/atom
* theoretical density: 8.50 g/cm³
* size of the total moment: 8.17 μB/cell
* formation energy: -0.01 eV per atom

=====

Entry 4:
A geometry-optimized HoBiPb structure. Source: Alexandria, functional PBE.

Structure (POSCAR):
```
HoBiPb
1.0
17.347 0.000 0.000
0.000 4.396 0.000
0.000 0.000 4.737
Ho Bi Pb
4 4 4
Cartesian
2.598 1.099 1.177 Ho
6.075 3.297 3.545 Ho
11.272 1.099 1.192 Ho
14.749 3.297 3.561 Ho
0.049 1.099 3.552 Bi
8.625 3.297 1.184 Bi
8.722 1.099 3.554 Bi
17.298 3.297 1.185 Bi
2.928 3.297 3.546 Pb
5.746 1.099 1.177 Pb
11.601 3.297 3.560 Pb
14.419 1.099 1.192 Pb
```

* DFT total energy: -4.33 eV/atom
* theoretical density: 10.68 g/cm³
* size of the total moment: 0.00 μB/cell
* formation energy: -0.27 eV per atom